DFT (PBE with a Hubbard U) results for a relaxed structure of NaTc2MoF.

Results
Total magnetic moment   2.6 Bohr magnetons per cell
Calculated total energy   -4.81 eV per atom

Cell lengths 4.7525, 4.7525, 6.5092 Å; angles 90.00, 90.00, 90.00 degrees
Atoms (fractional coordinates):
Na 0.0000 0.0000 0.0000
Tc 0.0000 0.5000 0.5000
Tc 0.5000 0.0000 0.5000
Mo 0.0000 0.0000 0.5000
F 0.5000 0.5000 0.0000